First-principles (meta-GGA SCAN) data for a PBEsol-optimized structure of Ag9Ge2IO8, as listed in Alexandria.

Calculated values
Its electronic total energy is -21.00 eV per atom. The space group is C2/m. The crystal system is monoclinic.

Unit cell a=9.5997 b=9.5997 c=5.6583 alpha=104.35 beta=104.35 gamma=39.51
Closest atoms and distances in Å follow each position.
Atoms (fractional coordinates):
Ag 0.0000 0.0000 0.0000  2 O 2.14
Ag 0.0979 0.5445 0.7069  3 O 2.23-2.35
Ag 0.2395 0.7605 0.5000  2 O 2.11
Ag 0.2999 0.2999 0.2768  3 O 2.22-2.30
Ag 0.4555 0.9021 0.2931  3 O 2.23-2.35
Ag 0.5445 0.0979 0.7069  3 O 2.23-2.35
Ag 0.7001 0.7001 0.7232  3 O 2.22-2.30
Ag 0.7605 0.2395 0.5000  2 O 2.11
Ag 0.9021 0.4555 0.2931  3 O 2.23-2.35
Ge 0.1535 0.1535 0.7751  4 O 1.77-1.78
Ge 0.8465 0.8465 0.2249  4 O 1.77-1.78
I 0.5000 0.5000 0.0000  10 Ag 3.24-3.53
O 0.1002 0.6579 0.4062  1 Ge 1.77
O 0.1215 0.1215 0.0449  1 Ge 1.77
O 0.2555 0.2555 0.8719  1 Ge 1.78
O 0.3421 0.8998 0.5938  1 Ge 1.77
O 0.6579 0.1002 0.4062  1 Ge 1.77
O 0.7445 0.7445 0.1281  1 Ge 1.78
O 0.8785 0.8785 0.9551  1 Ge 1.77
O 0.8998 0.3421 0.5938  1 Ge 1.77

---

First-principles (meta-GGA SCAN) data for a PBEsol-optimized structure of AgGeTeI2, as listed in Alexandria.

Calculated values
Its electronic total energy is -31.71 eV per atom. The space group is P4/mmm. The crystal system is tetragonal.

Unit cell a=5.4182 b=5.4182 c=5.4552 alpha=90.00 beta=90.00 gamma=90.00
Closest atoms and distances in Å follow each position.
Atoms (fractional coordinates):
Ag 0.0000 0.0000 0.0000  4 I 2.71, 2 Te 2.73
Ge 0.5000 0.5000 0.5000  4 Te 3.83, 8 I 3.84
Te 0.0000 0.0000 0.5000  2 Ag 2.73
I 0.0000 0.5000 0.0000  2 Ag 2.71
I 0.5000 0.0000 0.0000  2 Ag 2.71

---

First-principles (meta-GGA SCAN) data for a PBEsol-optimized structure of AgGeTe2I, as listed in Alexandria.

Calculated values
Its electronic total energy is -31.82 eV per atom. The space group is P4/mmm. The crystal system is tetragonal.

Unit cell a=5.3458 b=5.3458 c=5.5368 alpha=90.00 beta=90.00 gamma=90.00
Closest atoms and distances in Å follow each position.
Atoms (fractional coordinates):
Ag 0.0000 0.0000 0.0000  4 I 3.78, 8 Te 3.85
Ge 0.5000 0.5000 0.5000  4 Te 2.67, 2 I 2.77
Te 0.0000 0.5000 0.5000  2 Ge 2.67
Te 0.5000 0.0000 0.5000  2 Ge 2.67
I 0.5000 0.5000 0.0000  2 Ge 2.77

---

First-principles (meta-GGA SCAN) data for a PBEsol-optimized structure of Mg2InAgGe, as listed in Alexandria.

Calculated values
Its electronic total energy is -18.42 eV per atom. The space group is P4/mmm. For the formation enthalpy at 0 K, the calculation gives 333 meV/atom. The crystal system is tetragonal.

Unit cell a=5.0090 b=5.0090 c=5.0511 alpha=90.00 beta=90.00 gamma=90.00
Closest atoms and distances in Å follow each position.
Atoms (fractional coordinates):
Mg 0.0000 0.5000 0.0000  2 Ag 2.50
Mg 0.5000 0.0000 0.0000  2 Ag 2.50
In 0.0000 0.0000 0.5000  2 Ag 2.53
Ag 0.0000 0.0000 0.0000  4 Mg 2.50, 2 In 2.53
Ge 0.5000 0.5000 0.5000  4 In 3.54, 8 Mg 3.56

---

First-principles (meta-GGA SCAN) data for a PBEsol-optimized structure of InReAg2Ge, as listed in Alexandria.

Calculated values
Its electronic total energy is -35.42 eV per atom. The space group is P4/mmm. For the formation enthalpy at 0 K, the calculation gives 1846 meV/atom. The crystal system is tetragonal.

Unit cell a=4.9430 b=4.9430 c=5.0471 alpha=90.00 beta=90.00 gamma=90.00
Closest atoms and distances in Å follow each position.
Atoms (fractional coordinates):
In 0.0000 0.0000 0.0000  4 Ag 2.47, 2 Ge 2.52
Re 0.5000 0.5000 0.5000  4 Ge 3.50, 8 Ag 3.53
Ag 0.0000 0.5000 0.0000  2 In 2.47
Ag 0.5000 0.0000 0.0000  2 In 2.47
Ge 0.0000 0.0000 0.5000  2 In 2.52

---

First-principles (meta-GGA SCAN) data for a PBEsol-optimized structure of AgGe2Ir, as listed in Alexandria.

Calculated values
Its electronic total energy is -34.95 eV per atom. The space group is Fm-3m. For the formation enthalpy at 0 K, the calculation gives 215 meV/atom. The crystal system is cubic.

Unit cell a=4.4437 b=4.4437 c=4.4437 alpha=60.00 beta=60.00 gamma=60.00
Closest atoms and distances in Å follow each position.
Atoms (fractional coordinates):
Ag 0.0000 0.0000 0.0000  8 Ge 2.72
Ge 0.2500 0.2500 0.2500  4 Ir 2.72, 4 Ag 2.72
Ge 0.7500 0.7500 0.7500  4 Ir 2.72, 4 Ag 2.72
Ir 0.5000 0.5000 0.5000  8 Ge 2.72

---

First-principles (meta-GGA SCAN) data for a PBEsol-optimized structure of TaAg2GeIr, as listed in Alexandria.

Calculated values
Its electronic total energy is -41.80 eV per atom. The space group is P4/mmm. For the formation enthalpy at 0 K, the calculation gives 2100 meV/atom. The crystal system is tetragonal.

Unit cell a=4.8611 b=4.8611 c=4.7813 alpha=90.00 beta=90.00 gamma=90.00
Closest atoms and distances in Å follow each position.
Atoms (fractional coordinates):
Ta 0.0000 0.0000 0.0000  2 Ge 2.39, 4 Ag 2.43
Ag 0.0000 0.5000 0.0000  2 Ta 2.43
Ag 0.5000 0.0000 0.0000  2 Ta 2.43
Ge 0.0000 0.0000 0.5000  2 Ta 2.39
Ir 0.5000 0.5000 0.5000  8 Ag 3.41, 4 Ge 3.44

---

First-principles (meta-GGA SCAN) data for a PBEsol-optimized structure of KAg2Ge2, as listed in Alexandria.

Calculated values
Its electronic total energy is -21.89 eV per atom. The space group is I4/mmm. For the formation enthalpy at 0 K, the calculation gives -44 meV/atom. The crystal system is tetragonal.

Unit cell a=6.0113 b=6.0113 c=6.0113 alpha=134.91 beta=134.91 gamma=65.66
Closest atoms and distances in Å follow each position.
Atoms (fractional coordinates):
K 0.0000 0.0000 0.0000  8 Ag 3.42, 10 Ge 3.49-3.81
Ag 0.2500 0.7500 0.5000  4 Ge 2.64
Ag 0.7500 0.2500 0.5000  4 Ge 2.64
Ge 0.3776 0.3776 0.0000  1 Ge 2.47, 4 Ag 2.64
Ge 0.6224 0.6224 0.0000  1 Ge 2.47, 4 Ag 2.64

---

First-principles (meta-GGA SCAN) data for a PBEsol-optimized structure of LaAg3Ge, as listed in Alexandria.

Calculated values
Its electronic total energy is -31.27 eV per atom. The space group is Pm-3m. For the formation enthalpy at 0 K, the calculation gives -15 meV/atom. The crystal system is cubic.

Unit cell a=4.8622 b=4.8622 c=4.8622 alpha=90.00 beta=90.00 gamma=90.00
Closest atoms and distances in Å follow each position.
Atoms (fractional coordinates):
La 0.0000 0.0000 0.0000  12 Ag 3.44
Ag 0.0000 0.5000 0.5000  2 Ge 2.43
Ag 0.5000 0.0000 0.5000  2 Ge 2.43
Ag 0.5000 0.5000 0.0000  2 Ge 2.43
Ge 0.5000 0.5000 0.5000  6 Ag 2.43

---

First-principles (meta-GGA SCAN) data for a PBEsol-optimized structure of LiAgGeO2, as listed in Alexandria.

Calculated values
Its electronic total energy is -13.56 eV per atom. The space group is P4/mmm. The crystal system is tetragonal.

Unit cell a=3.7017 b=3.7017 c=5.1391 alpha=90.00 beta=90.00 gamma=90.00
Closest atoms and distances in Å follow each position.
Atoms (fractional coordinates):
Li 0.0000 0.0000 0.0000  4 Ag 2.62
Ag 0.5000 0.5000 0.0000  2 Ge 2.57, 4 Li 2.62
Ge 0.5000 0.5000 0.5000  4 O 1.85
O 0.0000 0.5000 0.5000  2 Ge 1.85
O 0.5000 0.0000 0.5000  2 Ge 1.85

---

First-principles (meta-GGA SCAN) data for a PBEsol-optimized structure of LuAgGe, as listed in Alexandria.

Calculated values
Its electronic total energy is -35.96 eV per atom. The space group is P-62m. For the formation enthalpy at 0 K, the calculation gives -695 meV/atom. The crystal system is hexagonal.

Unit cell a=6.9281 b=6.9281 c=4.1036 alpha=90.00 beta=90.00 gamma=120.00
Closest atoms and distances in Å follow each position.
Atoms (fractional coordinates):
Lu 0.0000 0.4188 0.0000  5 Ge 2.90-2.92, 2 Ag 3.07
Lu 0.4188 0.0000 0.0000  5 Ge 2.90-2.92, 2 Ag 3.07
Lu 0.5812 0.5812 0.0000  5 Ge 2.90-2.92, 2 Ag 3.07
Ag 0.0000 0.7490 0.5000  4 Ge 2.64-2.69
Ag 0.2510 0.2510 0.5000  4 Ge 2.64-2.69
Ag 0.7490 0.0000 0.5000  4 Ge 2.64-2.69
Ge 0.0000 0.0000 0.0000  6 Ag 2.69, 3 Lu 2.90
Ge 0.3333 0.6667 0.5000  3 Ag 2.64, 6 Lu 2.92
Ge 0.6667 0.3333 0.5000  3 Ag 2.64, 6 Lu 2.92

---

First-principles (meta-GGA SCAN) data for a PBEsol-optimized structure of Mg2AgGe2, as listed in Alexandria.

Calculated values
Its electronic total energy is -16.01 eV per atom. The space group is P4/mbm. For the formation enthalpy at 0 K, the calculation gives -111 meV/atom. The crystal system is tetragonal.

Unit cell a=6.8547 b=6.8547 c=4.0162 alpha=90.00 beta=90.00 gamma=90.00
Closest atoms and distances in Å follow each position.
Atoms (fractional coordinates):
Mg 0.1739 0.3261 0.0000  6 Ge 2.77-2.91
Mg 0.3261 0.8261 0.0000  6 Ge 2.77-2.91
Mg 0.6739 0.1739 0.0000  6 Ge 2.77-2.91
Mg 0.8261 0.6739 0.0000  6 Ge 2.77-2.91
Ag 0.0000 0.0000 0.5000  4 Ge 2.69
Ag 0.5000 0.5000 0.5000  4 Ge 2.69
Ge 0.1297 0.6297 0.5000  1 Ge 2.52, 2 Ag 2.69, 2 Mg 2.77
Ge 0.3703 0.1297 0.5000  1 Ge 2.52, 2 Ag 2.69, 2 Mg 2.77
Ge 0.6297 0.8703 0.5000  1 Ge 2.52, 2 Ag 2.69, 2 Mg 2.77
Ge 0.8703 0.3703 0.5000  1 Ge 2.52, 2 Ag 2.69, 2 Mg 2.77